[1]
DFT (GGA-PBE) results for crystalline Zr4Ta2Si3N3 at its relaxed geometry.

```
data_Zr4Ta2Si3N3
_cell_length_a 9.672
_cell_length_b 5.577
_cell_length_c 13.526
_cell_angle_alpha 90.00
_cell_angle_beta 103.92
_cell_angle_gamma 90.00
_symmetry_space_group_name_H-M 'C 1 2/c 1'
_symmetry_Int_Tables_number 15
loop_
_symmetry_equiv_pos_as_xyz
'x,y,z'
'-x,-y,-z'
'-x,y,-z+1/2'
'x,-y,z+1/2'
'x+1/2,y+1/2,z'
'-x+1/2,-y+1/2,-z'
'-x+1/2,y+1/2,-z+1/2'
'x+1/2,-y+1/2,z+1/2'
loop_
_atom_site_label
_atom_site_type_symbol
_atom_site_fract_x
_atom_site_fract_y
_atom_site_fract_z
Zr1 Zr 0.117 0.081 0.102
Zr2 Zr 0.215 0.085 0.398
Ta1 Ta 0.057 0.415 0.916
Si1 Si 0.000 0.138 0.750
Si2 Si 0.139 0.446 0.250
N1 N 0.084 0.247 0.500
N2 N 0.250 0.250 0.000
```


[2]
DFT (GGA-PBE) results for crystalline Zr2Ta4Si3N3 at its relaxed geometry.

```
data_Zr2Ta4Si3N3
_cell_length_a 9.444
_cell_length_b 5.449
_cell_length_c 13.487
_cell_angle_alpha 90.00
_cell_angle_beta 103.83
_cell_angle_gamma 90.00
_symmetry_space_group_name_H-M 'C 1 2/c 1'
_symmetry_Int_Tables_number 15
loop_
_symmetry_equiv_pos_as_xyz
'x,y,z'
'-x,-y,-z'
'-x,y,-z+1/2'
'x,-y,z+1/2'
'x+1/2,y+1/2,z'
'-x+1/2,-y+1/2,-z'
'-x+1/2,y+1/2,-z+1/2'
'x+1/2,-y+1/2,z+1/2'
loop_
_atom_site_label
_atom_site_type_symbol
_atom_site_fract_x
_atom_site_fract_y
_atom_site_fract_z
Zr1 Zr 0.044 0.083 0.384
Ta1 Ta 0.112 0.415 0.586
Ta2 Ta 0.222 0.417 0.914
Si1 Si 0.000 0.493 0.750
Si2 Si 0.209 0.125 0.749
N1 N 0.078 0.235 0.000
N2 N 0.250 0.250 0.500
```


[3]
DFT (GGA-PBE) results for crystalline ThSiN at its relaxed geometry.

```
data_ThSiN
_cell_length_a 3.539
_cell_length_b 3.555
_cell_length_c 9.708
_cell_angle_alpha 90.00
_cell_angle_beta 90.00
_cell_angle_gamma 90.00
_symmetry_space_group_name_H-M 'I m m 2'
_symmetry_Int_Tables_number 44
loop_
_symmetry_equiv_pos_as_xyz
'x,y,z'
'-x,-y,z'
'-x,y,z'
'x,-y,z'
'x+1/2,y+1/2,z+1/2'
'-x+1/2,-y+1/2,z+1/2'
'-x+1/2,y+1/2,z+1/2'
'x+1/2,-y+1/2,z+1/2'
loop_
_atom_site_label
_atom_site_type_symbol
_atom_site_fract_x
_atom_site_fract_y
_atom_site_fract_z
Th1 Th 0.000 0.000 0.000
Si1 Si 0.000 0.000 0.312
N1 N 0.000 0.000 0.501
```


[4]
DFT (GGA-PBE) results for crystalline Zr4TlSiN2 at its relaxed geometry.

```
data_Zr4TlSiN2
_cell_length_a 3.3076
_cell_length_b 3.3076
_cell_length_c 14.1013
_cell_angle_alpha 90.00
_cell_angle_beta 90.00
_cell_angle_gamma 120.00
_symmetry_space_group_name_H-M 'P -6 m 2'
_symmetry_Int_Tables_number 187
_symmetry_space_group_name_Hall 'P -6 2'
loop_
_atom_site_label
_atom_site_type_symbol
_atom_site_fract_x
_atom_site_fract_y
_atom_site_fract_z
Zr1 Zr 0.0000 0.0000 0.1456
Zr2 Zr 0.6667 0.3333 0.3232
Tl1 Tl 0.0000 0.0000 0.5000
Si1 Si 0.6667 0.3333 0.0000
N1 N 0.3333 0.6667 0.2370
```


[5]
DFT (GGA-PBE) results for crystalline SiW4N3 at its relaxed geometry.

```
data_SiW4N3
_cell_length_a 2.8315
_cell_length_b 2.8315
_cell_length_c 26.0955
_cell_angle_alpha 90.00
_cell_angle_beta 90.00
_cell_angle_gamma 120.00
_symmetry_space_group_name_H-M 'P 63/m m c'
_symmetry_Int_Tables_number 194
_symmetry_space_group_name_Hall '-P 6c 2c'
loop_
_atom_site_label
_atom_site_type_symbol
_atom_site_fract_x
_atom_site_fract_y
_atom_site_fract_z
Si1 Si 0.3333 0.6667 0.2500
W1 W 0.0000 0.0000 0.1701
W2 W 0.3333 0.6667 0.0572
N1 N 0.0000 0.0000 0.0000
N2 N 0.3333 0.6667 0.6148
```


[6]
DFT (GGA-PBE) results for crystalline Y2Si3W4N3 at its relaxed geometry.

```
data_Y2Si3W4N3
_cell_length_a 9.424
_cell_length_b 5.479
_cell_length_c 13.397
_cell_angle_alpha 90.00
_cell_angle_beta 104.51
_cell_angle_gamma 90.00
_symmetry_space_group_name_H-M 'C 1 2/c 1'
_symmetry_Int_Tables_number 15
loop_
_symmetry_equiv_pos_as_xyz
'x,y,z'
'-x,-y,-z'
'-x,y,-z+1/2'
'x,-y,z+1/2'
'x+1/2,y+1/2,z'
'-x+1/2,-y+1/2,-z'
'-x+1/2,y+1/2,-z+1/2'
'x+1/2,-y+1/2,z+1/2'
loop_
_atom_site_label
_atom_site_type_symbol
_atom_site_fract_x
_atom_site_fract_y
_atom_site_fract_z
Y1 Y 0.041 0.082 0.380
Si1 Si 0.000 0.416 0.750
Si2 Si 0.245 0.161 0.750
W1 W 0.116 0.431 0.583
W2 W 0.213 0.413 0.917
N1 N 0.078 0.235 0.000
N2 N 0.250 0.250 0.500
```


[7]
DFT (GGA-PBE) results for crystalline ZnSiW4N2 at its relaxed geometry.

```
data_ZnSiW4N2
_cell_length_a 2.8313
_cell_length_b 2.8313
_cell_length_c 14.6086
_cell_angle_alpha 90.00
_cell_angle_beta 90.00
_cell_angle_gamma 120.00
_symmetry_space_group_name_H-M 'P -6 m 2'
_symmetry_Int_Tables_number 187
_symmetry_space_group_name_Hall 'P -6 2'
loop_
_atom_site_label
_atom_site_type_symbol
_atom_site_fract_x
_atom_site_fract_y
_atom_site_fract_z
Zn1 Zn 0.0000 0.0000 0.0000
Si1 Si 0.3333 0.6667 0.5000
W1 W 0.0000 0.0000 0.3555
W2 W 0.3333 0.6667 0.1559
N1 N 0.6667 0.3333 0.2545
```


[8]
DFT (GGA-PBE) results for crystalline Y4ZnSiN2 at its relaxed geometry.

```
data_Y4ZnSiN2
_cell_length_a 3.5073
_cell_length_b 3.5073
_cell_length_c 14.5315
_cell_angle_alpha 90.00
_cell_angle_beta 90.00
_cell_angle_gamma 120.00
_symmetry_space_group_name_H-M 'P -6 m 2'
_symmetry_Int_Tables_number 187
_symmetry_space_group_name_Hall 'P -6 2'
loop_
_atom_site_label
_atom_site_type_symbol
_atom_site_fract_x
_atom_site_fract_y
_atom_site_fract_z
Y1 Y 0.0000 0.0000 0.1536
Y2 Y 0.3333 0.6667 0.3412
Zn1 Zn 0.0000 0.0000 0.5000
Si1 Si 0.3333 0.6667 0.0000
N1 N 0.6667 0.3333 0.2452
```


[9]
DFT (GGA-PBE) results for crystalline Y4Zr2Si3N3 at its relaxed geometry.

```
data_Y4Zr2Si3N3
_cell_length_a 10.268
_cell_length_b 5.936
_cell_length_c 14.350
_cell_angle_alpha 90.00
_cell_angle_beta 103.99
_cell_angle_gamma 90.00
_symmetry_space_group_name_H-M 'C 1 2/c 1'
_symmetry_Int_Tables_number 15
loop_
_symmetry_equiv_pos_as_xyz
'x,y,z'
'-x,-y,-z'
'-x,y,-z+1/2'
'x,-y,z+1/2'
'x+1/2,y+1/2,z'
'-x+1/2,-y+1/2,-z'
'-x+1/2,y+1/2,-z+1/2'
'x+1/2,-y+1/2,z+1/2'
loop_
_atom_site_label
_atom_site_type_symbol
_atom_site_fract_x
_atom_site_fract_y
_atom_site_fract_z
Y1 Y 0.117 0.078 0.101
Y2 Y 0.213 0.086 0.399
Zr1 Zr 0.059 0.414 0.920
Si1 Si 0.000 0.169 0.750
Si2 Si 0.124 0.458 0.249
N1 N 0.082 0.254 0.500
N2 N 0.250 0.250 0.000
```


| no. | total energy (eV per formula unit) |
| --- | --- |
| 1 | -110.9 |
| 2 | -115.3 |
| 3 | -23.1 |
| 4 | -67.0 |
| 5 | -81.1 |
| 6 | -111.0 |
| 7 | -74.3 |
| 8 | -56.8 |
| 9 | -97.9 |